Entry 1:
Material: BC3
Method: DFT, PBE
State: relaxed

Final energy, eV for the cell shown: -99.5
Total moment, μB per atom: 0.000

Cell: 6.0251 6.0251 5.1370 Å, 102.40 102.40 24.08°
Element x y z (fractional)
1 C 0.9059 0.9059 0.7036
2 C 0.6678 0.6678 0.3374
3 C 0.9182 0.9182 0.2073
4 C 0.3295 0.3295 0.6647
5 C 0.5928 0.5928 0.5485
6 C 0.5956 0.5956 0.0455
7 C 0.2472 0.2472 0.3805
8 C 0.2481 0.2481 0.8670
9 C 0.6699 0.6699 0.8320
10 B 0.3269 0.3269 0.1645
11 B 0.9996 0.9996 0.9953
12 B 0.9985 0.9985 0.5038

=====

Entry 2:
Material: DyZr
Method: DFT, PBE
State: relaxed

Final energy, eV for the cell shown: -12.9
Total moment, μB per atom: 0.000

Cell: 3.3962 3.3962 5.3729 Å, 90.00 90.00 60.00°
Element x y z (fractional)
1 Dy 0.3333 0.3333 0.2500
2 Zr 0.6667 0.6667 0.7500

=====

Entry 3:
Material: YTaCo
Method: DFT, PBE
State: relaxed

Final energy, eV for the cell shown: -25.3
Total moment, μB per atom: 0.000

Cell: 6.1009 6.1010 3.2177 Å, 74.71 74.71 30.58°
Element x y z (fractional)
1 Co 0.0367 0.0367 0.9633
2 Ta 0.6248 0.6248 0.3752
3 Y 0.3385 0.3385 0.6615